1.
# BiAuC2 PBE optimized geometry
# ΔE_f   1.680 eV/atom
data_BiAuC2
_symmetry_space_group_name_H-M 'I -4 2 d'
_symmetry_Int_Tables_number 122
_symmetry_space_group_name_Hall 'I -4 2bw'
_cell_length_a 5.1711
_cell_length_b 5.1711
_cell_length_c 10.5753
_cell_angle_alpha 90.00
_cell_angle_beta 90.00
_cell_angle_gamma 90.00
loop_
_atom_site_label
_atom_site_type_symbol
_atom_site_fract_x
_atom_site_fract_y
_atom_site_fract_z
_atom_site_occupancy
Bi1 Bi 0.0000 0.0000 0.0000 1
Au1 Au 0.0000 0.0000 0.5000 1
C1 C 0.2138 0.2500 0.6250 1

2.
# Rb2MnBi2 PBE optimized geometry
# ΔE_f   -0.014 eV/atom
# ΔE to the lowest computed polymorph   0 meV per atom
data_Rb2MnBi2
_symmetry_space_group_name_H-M 'P 4/m b m'
_symmetry_Int_Tables_number 127
_symmetry_space_group_name_Hall '-P 4 2ab'
_cell_length_a 7.6609
_cell_length_b 7.6609
_cell_length_c 6.2768
_cell_angle_alpha 90.00
_cell_angle_beta 90.00
_cell_angle_gamma 90.00
loop_
_atom_site_label
_atom_site_type_symbol
_atom_site_fract_x
_atom_site_fract_y
_atom_site_fract_z
_atom_site_occupancy
Rb1 Rb 0.1668 0.3332 0.0000 1
Mn1 Mn 0.0000 0.0000 0.5000 1
Bi1 Bi 0.1489 0.6489 0.5000 1

3.
# NaLaCd2Rh PBE optimized geometry
# ΔE_f   -0.247 eV/atom
data_NaLaCd2Rh
_symmetry_space_group_name_H-M 'P 4/m m m'
_symmetry_Int_Tables_number 123
_symmetry_space_group_name_Hall '-P 4 2'
_cell_length_a 5.4056
_cell_length_b 5.4056
_cell_length_c 5.1554
_cell_angle_alpha 90.00
_cell_angle_beta 90.00
_cell_angle_gamma 90.00
loop_
_atom_site_label
_atom_site_type_symbol
_atom_site_fract_x
_atom_site_fract_y
_atom_site_fract_z
_atom_site_occupancy
Na1 Na 0.0000 0.0000 0.0000 1
La1 La 0.5000 0.5000 0.0000 1
Cd1 Cd 0.0000 0.5000 0.5000 1
Rh1 Rh 0.5000 0.5000 0.5000 1